VASP calculation (GGA-PBE) on BaMg2Tl2 after structural relaxation.

E above lowest polymorph: 160 meV/atom
space group: P4/mbm
energy of formation from the pure elements: -107 meV/atom
mass density: 6.61 g/cm3
final energy: -2.076 eV per atom
magnetic moment: 0.00 μB/cell

```
data_BaMg2Tl2
_chemical_formula_sum 'Ba2 Mg4 Tl4'
_symmetry_space_group_name_H-M 'P 1'
_symmetry_Int_Tables_number 1
_symmetry_space_group_name_Hall 'P 1'
_cell_length_a 9.276
_cell_length_b 9.276
_cell_length_c 3.474
_cell_angle_alpha 90.00
_cell_angle_beta 90.00
_cell_angle_gamma 90.00
loop_
_atom_site_label
_atom_site_fract_x
_atom_site_fract_y
_atom_site_fract_z
Mg1 0.144 0.644 0.500
Mg2 0.644 0.856 0.500
Mg3 0.856 0.356 0.500
Mg4 0.356 0.144 0.500
Tl1 0.353 0.853 0.000
Tl2 0.853 0.647 0.000
Tl3 0.647 0.147 0.000
Tl4 0.147 0.353 0.000
Ba1 0.000 0.000 0.000
Ba2 0.500 0.500 0.000
```

VASP calculation (GGA-PBE) on BaMg4Tl after structural relaxation.

E above lowest polymorph: 50 meV/atom
space group: F-43m
energy of formation from the pure elements: -42 meV/atom
mass density: 4.08 g/cm3
final energy: -1.820 eV per atom
magnetic moment: 0.00 μB/cell

```
data_BaMg4Tl
_chemical_formula_sum 'Ba1 Mg4 Tl1'
_symmetry_space_group_name_H-M 'P 1'
_symmetry_Int_Tables_number 1
_symmetry_space_group_name_Hall 'P 1'
_cell_length_a 6.321
_cell_length_b 6.321
_cell_length_c 6.321
_cell_angle_alpha 60.00
_cell_angle_beta 60.00
_cell_angle_gamma 60.00
loop_
_atom_site_label
_atom_site_fract_x
_atom_site_fract_y
_atom_site_fract_z
Ba1 0.000 0.000 0.000
Mg1 0.376 0.873 0.376
Mg2 0.873 0.376 0.376
Mg3 0.376 0.376 0.873
Mg4 0.376 0.376 0.376
Tl1 0.750 0.750 0.750
```

VASP calculation (GGA-PBE) on Ba3MgTl after structural relaxation.

E above lowest polymorph: 0 meV/atom
space group: Cmcm
energy of formation from the pure elements: -209 meV/atom
mass density: 4.74 g/cm3
final energy: -2.154 eV per atom
magnetic moment: 0.00 μB/cell

```
data_Ba3MgTl
_chemical_formula_sum 'Ba6 Mg2 Tl2'
_symmetry_space_group_name_H-M 'P 1'
_symmetry_Int_Tables_number 1
_symmetry_space_group_name_Hall 'P 1'
_cell_length_a 6.154
_cell_length_b 6.148
_cell_length_c 12.249
_cell_angle_alpha 90.00
_cell_angle_beta 75.45
_cell_angle_gamma 90.00
loop_
_atom_site_label
_atom_site_fract_x
_atom_site_fract_y
_atom_site_fract_z
Ba1 0.750 0.250 0.147
Ba2 0.399 0.250 0.851
Ba3 0.575 0.250 0.499
Ba4 0.249 0.750 0.149
Ba5 0.898 0.750 0.853
Ba6 0.074 0.750 0.501
Mg1 0.485 0.750 0.678
Mg2 0.163 0.250 0.322
Tl1 0.666 0.750 0.316
Tl2 0.982 0.250 0.684
```

VASP calculation (GGA-PBE) on Ba2MgTl4 after structural relaxation.

space group: C2/m
energy of formation from the pure elements: -159 meV/atom
mass density: 6.80 g/cm3
final energy: -2.288 eV per atom
magnetic moment: 0.00 μB/cell

```
data_Ba2MgTl4
_chemical_formula_sum 'Ba2 Mg1 Tl4'
_symmetry_space_group_name_H-M 'P 1'
_symmetry_Int_Tables_number 1
_symmetry_space_group_name_Hall 'P 1'
_cell_length_a 5.265
_cell_length_b 7.077
_cell_length_c 8.591
_cell_angle_alpha 114.32
_cell_angle_beta 98.37
_cell_angle_gamma 69.31
loop_
_atom_site_label
_atom_site_fract_x
_atom_site_fract_y
_atom_site_fract_z
Ba1 0.500 0.146 0.292
Ba2 0.500 0.854 0.708
Mg1 0.000 0.500 0.000
Tl1 0.500 0.600 0.199
Tl2 0.000 0.710 0.421
Tl3 0.500 0.400 0.801
Tl4 0.000 0.290 0.579
```

VASP calculation (GGA-PBE) on Ba2MgTl2 after structural relaxation.

E above lowest polymorph: 73 meV/atom
space group: P4/mbm
energy of formation from the pure elements: -236 meV/atom
mass density: 6.22 g/cm3
final energy: -2.270 eV per atom
magnetic moment: 0.00 μB/cell

```
data_Ba2MgTl2
_chemical_formula_sum 'Ba4 Mg2 Tl4'
_symmetry_space_group_name_H-M 'P 1'
_symmetry_Int_Tables_number 1
_symmetry_space_group_name_Hall 'P 1'
_cell_length_a 8.320
_cell_length_b 8.320
_cell_length_c 5.459
_cell_angle_alpha 90.00
_cell_angle_beta 90.00
_cell_angle_gamma 90.00
loop_
_atom_site_label
_atom_site_fract_x
_atom_site_fract_y
_atom_site_fract_z
Mg1 0.000 0.000 0.000
Mg2 0.500 0.500 0.000
Tl1 0.359 0.859 0.000
Tl2 0.859 0.641 0.000
Tl3 0.641 0.141 0.000
Tl4 0.141 0.359 0.000
Ba1 0.164 0.664 0.500
Ba2 0.664 0.836 0.500
Ba3 0.836 0.336 0.500
Ba4 0.336 0.164 0.500
```

VASP calculation (GGA-PBE) on Ba2MgTl after structural relaxation.

space group: F-43m
energy of formation from the pure elements: -69 meV/atom
mass density: 5.58 g/cm3
final energy: -2.021 eV per atom
magnetic moment: 0.00 μB/cell

```
data_Ba2MgTl
_chemical_formula_sum 'Ba2 Mg1 Tl1'
_symmetry_space_group_name_H-M 'P 1'
_symmetry_Int_Tables_number 1
_symmetry_space_group_name_Hall 'P 1'
_cell_length_a 5.961
_cell_length_b 5.961
_cell_length_c 5.961
_cell_angle_alpha 60.00
_cell_angle_beta 60.00
_cell_angle_gamma 60.00
loop_
_atom_site_label
_atom_site_fract_x
_atom_site_fract_y
_atom_site_fract_z
Ba1 0.000 0.000 0.000
Ba2 0.250 0.250 0.250
Mg1 0.500 0.500 0.500
Tl1 0.750 0.750 0.750
```

VASP calculation (GGA-PBE) on Ba2MgTl after structural relaxation.

space group: Immm
energy of formation from the pure elements: 377 meV/atom
mass density: 4.54 g/cm3
final energy: -1.575 eV per atom
magnetic moment: 0.00 μB/cell

```
data_Ba2MgTl
_chemical_formula_sum 'Ba2 Mg1 Tl1'
_symmetry_space_group_name_H-M 'P 1'
_symmetry_Int_Tables_number 1
_symmetry_space_group_name_Hall 'P 1'
_cell_length_a 8.130
_cell_length_b 8.130
_cell_length_c 8.130
_cell_angle_alpha 55.22
_cell_angle_beta 151.48
_cell_angle_gamma 133.77
loop_
_atom_site_label
_atom_site_fract_x
_atom_site_fract_y
_atom_site_fract_z
Ba1 0.000 0.258 0.258
Ba2 0.000 0.742 0.742
Mg1 0.000 0.000 0.000
Tl1 0.000 0.500 0.500
```

VASP calculation (GGA-PBE) on Ba3Mg2Tl9 after structural relaxation.

space group: Immm
energy of formation from the pure elements: -255 meV/atom
mass density: 8.46 g/cm3
final energy: -2.416 eV per atom
magnetic moment: 0.00 μB/cell

```
data_Ba3Mg2Tl9
_chemical_formula_sum 'Ba3 Mg2 Tl9'
_symmetry_space_group_name_H-M 'P 1'
_symmetry_Int_Tables_number 1
_symmetry_space_group_name_Hall 'P 1'
_cell_length_a 5.092
_cell_length_b 9.876
_cell_length_c 9.876
_cell_angle_alpha 73.82
_cell_angle_beta 75.06
_cell_angle_gamma 75.06
loop_
_atom_site_label
_atom_site_fract_x
_atom_site_fract_y
_atom_site_fract_z
Ba1 0.000 0.000 0.000
Ba2 0.697 0.303 0.303
Ba3 0.303 0.697 0.697
Mg1 0.500 0.307 0.693
Mg2 0.500 0.693 0.307
Tl1 0.000 0.500 0.500
Tl2 0.655 0.977 0.712
Tl3 0.345 0.023 0.288
Tl4 0.655 0.712 0.977
Tl5 0.345 0.288 0.023
Tl6 0.859 0.858 0.423
Tl7 0.141 0.142 0.577
Tl8 0.859 0.423 0.858
Tl9 0.141 0.577 0.142
```

VASP calculation (GGA-PBE) on Ba2Mg6Tl3 after structural relaxation.

space group: P-62m
energy of formation from the pure elements: -169 meV/atom
mass density: 5.06 g/cm3
final energy: -2.034 eV per atom
magnetic moment: 0.00 μB/cell

```
data_Ba2Mg6Tl3
_chemical_formula_sum 'Ba2 Mg6 Tl3'
_symmetry_space_group_name_H-M 'P 1'
_symmetry_Int_Tables_number 1
_symmetry_space_group_name_Hall 'P 1'
_cell_length_a 4.715
_cell_length_b 9.111
_cell_length_c 9.111
_cell_angle_alpha 120.00
_cell_angle_beta 90.00
_cell_angle_gamma 90.00
loop_
_atom_site_label
_atom_site_fract_x
_atom_site_fract_y
_atom_site_fract_z
Ba1 0.000 0.667 0.333
Ba2 0.000 0.333 0.667
Mg1 0.500 0.720 0.720
Mg2 0.500 0.000 0.280
Mg3 0.000 0.194 0.194
Mg4 0.000 0.806 0.000
Mg5 0.500 0.280 0.000
Mg6 0.000 0.000 0.806
Tl1 0.500 0.385 0.385
Tl2 0.500 0.615 0.000
Tl3 0.500 0.000 0.615
```

VASP calculation (GGA-PBE) on BaMgTl4 after structural relaxation.

E above lowest polymorph: 157 meV/atom
space group: F-43m
energy of formation from the pure elements: -72 meV/atom
mass density: 8.15 g/cm3
final energy: -2.235 eV per atom
magnetic moment: 0.00 μB/cell

```
data_BaMgTl4
_chemical_formula_sum 'Ba1 Mg1 Tl4'
_symmetry_space_group_name_H-M 'P 1'
_symmetry_Int_Tables_number 1
_symmetry_space_group_name_Hall 'P 1'
_cell_length_a 6.559
_cell_length_b 6.559
_cell_length_c 6.559
_cell_angle_alpha 60.00
_cell_angle_beta 60.00
_cell_angle_gamma 60.00
loop_
_atom_site_label
_atom_site_fract_x
_atom_site_fract_y
_atom_site_fract_z
Ba1 0.750 0.750 0.750
Mg1 0.000 0.000 0.000
Tl1 0.374 0.877 0.374
Tl2 0.877 0.374 0.374
Tl3 0.374 0.374 0.877
Tl4 0.374 0.374 0.374
```

VASP calculation (GGA-PBE) on BaMg3Tl3 after structural relaxation.

E above lowest polymorph: 0 meV/atom
space group: Pm-3n
energy of formation from the pure elements: 97 meV/atom
mass density: 5.38 g/cm3
final energy: -1.875 eV per atom
magnetic moment: 0.00 μB/cell

```
data_BaMg3Tl3
_chemical_formula_sum 'Ba2 Mg6 Tl6'
_symmetry_space_group_name_H-M 'P 1'
_symmetry_Int_Tables_number 1
_symmetry_space_group_name_Hall 'P 1'
_cell_length_a 7.980
_cell_length_b 7.980
_cell_length_c 7.980
_cell_angle_alpha 90.00
_cell_angle_beta 90.00
_cell_angle_gamma 90.00
loop_
_atom_site_label
_atom_site_fract_x
_atom_site_fract_y
_atom_site_fract_z
Mg1 0.000 0.250 0.500
Mg2 0.000 0.750 0.500
Mg3 0.500 0.000 0.750
Mg4 0.750 0.500 0.000
Mg5 0.500 0.000 0.250
Mg6 0.250 0.500 0.000
Tl1 0.250 0.000 0.500
Tl2 0.000 0.500 0.250
Tl3 0.500 0.750 0.000
Tl4 0.750 0.000 0.500
Tl5 0.000 0.500 0.750
Tl6 0.500 0.250 0.000
Ba1 0.500 0.500 0.500
Ba2 0.000 0.000 0.000
```

VASP calculation (GGA-PBE) on Ba2Mg6Tl9 after structural relaxation.

space group: P6/mmm
energy of formation from the pure elements: -76 meV/atom
mass density: 6.99 g/cm3
final energy: -2.117 eV per atom
magnetic moment: 0.00 μB/cell

```
data_Ba2Mg6Tl9
_chemical_formula_sum 'Ba2 Mg6 Tl9'
_symmetry_space_group_name_H-M 'P 1'
_symmetry_Int_Tables_number 1
_symmetry_space_group_name_Hall 'P 1'
_cell_length_a 6.599
_cell_length_b 6.599
_cell_length_c 14.232
_cell_angle_alpha 90.00
_cell_angle_beta 90.00
_cell_angle_gamma 120.00
loop_
_atom_site_label
_atom_site_fract_x
_atom_site_fract_y
_atom_site_fract_z
Ba1 0.000 0.000 0.675
Ba2 0.000 0.000 0.325
Mg1 0.333 0.667 0.000
Mg2 0.667 0.333 0.000
Mg3 0.333 0.667 0.668
Mg4 0.667 0.333 0.668
Mg5 0.667 0.333 0.332
Mg6 0.333 0.667 0.332
Tl1 0.500 0.000 0.834
Tl2 0.000 0.500 0.834
Tl3 0.500 0.500 0.834
Tl4 0.500 0.000 0.166
Tl5 0.000 0.500 0.166
Tl6 0.500 0.500 0.166
Tl7 0.500 0.000 0.500
Tl8 0.000 0.500 0.500
Tl9 0.500 0.500 0.500
```